(1)
The following is a DFT calculation (PBE-GGA) of a relaxed structure of La6Pr3Sm.

The calculation puts the density of states at the Fermi level at 56.1 states/eV per cell. The value obtained for the formation energy is 123.2 meV per atom. Its energy above the lowest structure with this stoichiometry is 0.0 meV/atom. The final energy comes out at -47.39 eV/f.u.

Lattice parameters (Å, degrees): 11.643 19.065 6.543 90.00 90.00 90.00
Space group Cmc2_1 (No. 36)
Unique sites:
La 0.000 0.073 0.000 x4
La 0.000 0.296 0.248 x4
La 0.185 0.439 0.458 x8
La 0.211 0.223 0.060 x8
Pr 0.000 0.420 0.896 x4
Pr 0.179 0.103 0.479 x8
Sm 0.000 0.245 0.688 x4



(2)
The following is a DFT calculation (PBE-GGA) of a relaxed structure of LaPrSm.

The calculation puts the density of states at the Fermi level at 11.2 states/eV per cell. The value obtained for the formation energy is 18.6 meV per atom. Its energy above the lowest structure with this stoichiometry is 5.0 meV/atom. The final energy comes out at -14.37 eV/f.u.

Lattice parameters (Å, degrees): 3.696 6.424 9.776 96.47 100.86 106.67
Space group P-1 (No. 2)
Unique sites:
La 0.081 0.249 0.415 x2
Pr 0.247 0.746 0.246 x2
Sm 0.414 0.248 0.081 x2



(3)
The following is a DFT calculation (PBE-GGA) of a relaxed structure of LaPr4Sm15.

The calculation puts the density of states at the Fermi level at 29.2 states/eV per cell. The value obtained for the formation energy is 16.0 meV per atom. The final energy comes out at -94.51 eV/f.u.

Lattice parameters (Å, degrees): 5.175 5.175 25.783 90.00 90.00 90.00
Space group P4/mmm (No. 123)
Unique sites:
La 0.000 0.000 0.000 x1
Pr 0.000 0.000 0.200 x2
Pr 0.000 0.000 0.400 x2
Sm 0.000 0.500 0.100 x4
Sm 0.000 0.500 0.300 x4
Sm 0.000 0.500 0.500 x2
Sm 0.500 0.500 0.000 x1
Sm 0.500 0.500 0.200 x2
Sm 0.500 0.500 0.400 x2



(4)
The following is a DFT calculation (PBE-GGA) of a relaxed structure of LaPr4Sm2.

The calculation puts the density of states at the Fermi level at 19.5 states/eV per cell. The value obtained for the formation energy is 229.1 meV per atom. Its energy above the lowest structure with this stoichiometry is 163.6 meV/atom. The final energy comes out at -31.88 eV/f.u.

Lattice parameters (Å, degrees): 4.696 4.696 23.268 90.00 90.00 90.00
Space group I4/mmm (No. 139)
Unique sites:
La 0.000 0.000 0.000 x2
Pr 0.000 0.000 0.138 x4
Pr 0.000 0.500 0.250 x4
Sm 0.000 0.000 0.401 x4



(5)
The following is a DFT calculation (PBE-GGA) of a relaxed structure of La6Pr12Sm.

The calculation puts the density of states at the Fermi level at 113.7 states/eV per cell. The value obtained for the formation energy is 175.1 meV per atom. Its energy above the lowest structure with this stoichiometry is 67.1 meV/atom. The final energy comes out at -88.31 eV/f.u.

Lattice parameters (Å, degrees): 13.8734 13.8734 12.7424 90.00 90.00 120.00
Space group R-3m (No. 166, hexagonal axes)
Unique sites:
La 0.0452 0.5226 0.1139 x18
Pr 0.0000 0.2562 0.0000 x18
Pr 0.0899 0.1797 0.7632 x18
Sm 0.0000 0.0000 0.5000 x3



(6)
The following is a DFT calculation (PBE-GGA) of a relaxed structure of La6Pr5Sm.

The calculation puts the density of states at the Fermi level at 42.8 states/eV per cell. The value obtained for the formation energy is 9.1 meV per atom. Its energy above the lowest structure with this stoichiometry is 0.0 meV/atom. The final energy comes out at -58.07 eV/f.u.

Lattice parameters (Å, degrees): 12.294 11.151 6.454 90.00 99.96 90.00
Space group C2/m (No. 12)
Unique sites:
La 0.249 0.000 0.251 x4
La 0.249 0.166 0.750 x8
Pr 0.000 0.166 0.000 x4
Pr 0.000 0.333 0.500 x4
Pr 0.000 0.500 0.000 x2
Sm 0.000 0.000 0.500 x2



(7)
The following is a DFT calculation (PBE-GGA) of a relaxed structure of LaPr6Sm5.

The calculation puts the density of states at the Fermi level at 47.1 states/eV per cell. The value obtained for the formation energy is 99.2 meV per atom. Its energy above the lowest structure with this stoichiometry is 84.7 meV/atom. The final energy comes out at -56.01 eV/f.u.

Lattice parameters (Å, degrees): 9.653 18.608 6.075 90.00 128.93 90.00
Space group C2/m (No. 12)
Unique sites:
La 0.000 0.000 0.000 x2
Pr 0.250 0.000 0.750 x4
Pr 0.250 0.176 0.250 x8
Sm 0.000 0.159 0.500 x4
Sm 0.000 0.342 0.000 x4
Sm 0.000 0.500 0.500 x2



(8)
The following is a DFT calculation (PBE-GGA) of a relaxed structure of La5PrSm12.

The calculation puts the density of states at the Fermi level at 57.0 states/eV per cell. The value obtained for the formation energy is 20.8 meV per atom. The final energy comes out at -85.67 eV/f.u.

Lattice parameters (Å, degrees): 19.082 10.994 6.354 90.00 109.35 90.00
Space group C2/m (No. 12)
Unique sites:
La 0.000 0.000 0.000 x2
La 0.166 0.000 0.500 x4
La 0.167 0.500 0.000 x4
Pr 0.000 0.500 0.500 x2
Sm 0.000 0.168 0.500 x4
Sm 0.000 0.332 0.000 x4
Sm 0.166 0.332 0.499 x8
Sm 0.167 0.168 0.000 x8